# 1
ZrBe2Ga2: relaxed, PBE-GGA.

Properties
Formation energy from the elements (eV per formula unit): -0.3
Mass density (g cm⁻³): 5.77
Polymorph energy (0 for the lowest one) (meV/atom): 236
M_tot (μB/f.u.): 0.0

Cell lengths 6.999, 6.999, 2.922 Å; angles 90.00, 90.00, 90.00 degrees
Fractional coordinates of all 10 atoms:
Zr: 0.000 0.000 0.000
Zr: 0.500 0.500 0.000
Be: 0.118 0.382 0.000
Be: 0.382 0.882 0.000
Be: 0.618 0.118 0.000
Be: 0.882 0.618 0.000
Ga: 0.173 0.673 0.500
Ga: 0.327 0.173 0.500
Ga: 0.673 0.827 0.500
Ga: 0.827 0.327 0.500

# 2
Mg2CrHRh: relaxed, PBE-GGA.

Properties
Mass density (g cm⁻³): 5.05
M_tot (μB/f.u.): 3.9
DFT total energy (eV per atom): -4.7887

Cell lengths 4.356, 4.356, 3.542 Å; angles 90.00, 90.00, 90.00 degrees
Fractional coordinates of all 5 atoms:
Mg: 0.000 0.500 0.000
Mg: 0.500 0.000 0.000
Cr: 0.000 0.000 0.500
H: 0.000 0.000 0.000
Rh: 0.500 0.500 0.500

# 3
MgCuW2: relaxed, PBE-GGA.

Properties
Formation energy from the elements (eV per formula unit): 3.3
Mass density (g cm⁻³): 11.09
M_tot (μB/f.u.): 0.0

Cell lengths 10.305, 10.305, 10.305 Å; angles 159.31, 159.31, 29.42 degrees
Fractional coordinates of all 8 atoms:
Mg: 0.000 0.000 0.000
Mg: 0.750 0.250 0.500
Cu: 0.250 0.750 0.500
Cu: 0.500 0.500 0.000
W: 0.126 0.125 0.501
W: 0.375 0.874 0.999
W: 0.624 0.625 0.499
W: 0.875 0.376 0.001

# 4
La2Mg16Ag: relaxed, PBE-GGA.

Properties
Formation energy from the elements (eV per formula unit): -1.7
Mass density (g cm⁻³): 2.78
M_tot (μB/f.u.): 0.0

Cell lengths 7.802, 7.802, 7.802 Å; angles 82.35, 82.35, 82.35 degrees
Fractional coordinates of all 19 atoms:
La: 0.000 0.000 0.000
La: 0.339 0.339 0.339
Mg: 0.019 0.019 0.512
Mg: 0.019 0.512 0.019
Mg: 0.178 0.665 0.665
Mg: 0.320 0.320 0.827
Mg: 0.320 0.827 0.320
Mg: 0.371 0.669 0.968
Mg: 0.371 0.968 0.669
Mg: 0.512 0.019 0.019
Mg: 0.665 0.178 0.665
Mg: 0.665 0.665 0.178
Mg: 0.669 0.371 0.968
Mg: 0.669 0.968 0.371
Mg: 0.759 0.759 0.759
Mg: 0.827 0.320 0.320
Mg: 0.968 0.371 0.669
Mg: 0.968 0.669 0.371
Ag: 0.566 0.566 0.566

# 5
LiCaSi: relaxed, PBE-GGA.

Properties
E_form (uncorrected) (eV/f.u.): 0.9
Mass density (g cm⁻³): 1.54
M_tot (μB/f.u.): 1.0

Cell lengths 4.861, 4.861, 4.861 Å; angles 60.00, 60.00, 60.00 degrees
Fractional coordinates of all 3 atoms:
Li: 0.000 0.000 0.000
Ca: 0.250 0.250 0.250
Si: 0.500 0.500 0.500

# 6
RbTeBr4: relaxed, PBE-GGA.

Properties
E_form (uncorrected) (eV/f.u.): -4.7
Mass density (g cm⁻³): 3.95
Polymorph energy (0 for the lowest one) (meV/atom): 3
M_tot (μB/f.u.): 0.0

Cell lengths 10.295, 10.295, 6.264 Å; angles 103.02, 103.02, 44.13 degrees
Fractional coordinates of all 12 atoms:
Rb: 0.205 0.205 0.226
Rb: 0.795 0.795 0.774
Te: 0.441 0.441 0.651
Te: 0.559 0.559 0.349
Br: 0.124 0.632 0.400
Br: 0.252 0.748 0.000
Br: 0.298 0.298 0.803
Br: 0.368 0.876 0.600
Br: 0.632 0.124 0.400
Br: 0.702 0.702 0.197
Br: 0.748 0.252 0.000
Br: 0.876 0.368 0.600

# 7
La3HgN: relaxed, PBE-GGA.

Properties
E_form (uncorrected) (eV/f.u.): -3.8
Mass density (g cm⁻³): 7.86
M_tot (μB/f.u.): 0.0

Cell lengths 7.166, 5.121, 8.095 Å; angles 90.00, 116.14, 90.00 degrees
Fractional coordinates of all 10 atoms:
La: 0.000 0.000 0.000
La: 0.134 0.500 0.764
La: 0.247 0.000 0.499
La: 0.500 0.000 0.000
La: 0.753 0.000 0.501
La: 0.866 0.500 0.236
Hg: 0.369 0.500 0.241
Hg: 0.631 0.500 0.759
N: 0.124 0.000 0.747
N: 0.876 0.000 0.253

# 8
Zr2InSbH: relaxed, PBE-GGA.

Properties
Mass density (g cm⁻³): 7.50
M_tot (μB/f.u.): 0.0
DFT total energy (eV per atom): -5.6140

Cell lengths 4.447, 4.447, 4.701 Å; angles 90.00, 90.00, 90.00 degrees
Fractional coordinates of all 5 atoms:
Zr: 0.000 0.500 0.000
Zr: 0.500 0.000 0.000
In: 0.000 0.000 0.500
Sb: 0.500 0.500 0.500
H: 0.000 0.000 0.000